(1)
A geometry-optimized Li2SiTc structure. Source: the Alexandria database, functional PBE-GGA.

Cell and atoms, written as POSCAR:
```
Li2SiTc
1.0
-1.4584 1.7604 -1.0593
-1.9641 -1.5378 0.3545
-1.3762 3.5571 7.8063
Li Si Tc
2 1 1
direct
0.0000 0.0000 0.0107
0.0000 0.0000 0.4893
0.5000 0.5000 0.2500
0.5000 0.5000 0.7500
```

Values from the calculation:
The density of states at the Fermi level is 1.83 states/eV per cell. The magnetic moment is 0.00 μB per atom. Its energy relative to the elements, uncorrected is 49 meV/atom.

(2)
A geometry-optimized LiSiTc structure. Source: the Alexandria database, functional PBE-GGA.

Cell and atoms, written as POSCAR:
```
LiSiTc
1.0
-3.6052 2.2423 -1.0553
0.6185 -3.9010 -2.2721
-1.0527 -1.0465 4.6158
Tc Li Si
2 2 2
direct
0.3549 0.1602 0.7613
0.6451 0.8398 0.2387
0.0190 0.5039 0.7521
0.9810 0.4961 0.2479
0.7028 0.8343 0.7430
0.2972 0.1657 0.2570
```

Values from the calculation:
The density of states at the Fermi level is 2.43 states/eV per cell. The magnetic moment is 0.00 μB per atom. Its energy relative to the elements, uncorrected is -238 meV/atom.

(3)
A geometry-optimized LiSi3Tc structure. Source: the Alexandria database, functional PBE-GGA.

Cell and atoms, written as POSCAR:
```
LiSi3Tc
1.0
4.6927 0.0000 0.0000
0.0000 4.6927 0.0000
0.0000 0.0000 4.6927
Si Tc Li
3 1 1
direct
0.0000 0.5000 0.0000
0.0000 0.0000 0.5000
0.5000 0.0000 0.0000
0.0000 0.0000 0.0000
0.5000 0.5000 0.5000
```

Values from the calculation:
The density of states at the Fermi level is 5.84 states/eV per cell. The magnetic moment is 0.00 μB per atom. Its energy relative to the elements, uncorrected is 343 meV/atom.

(4)
A geometry-optimized LiSiTc structure. Source: the Alexandria database, functional PBE-GGA.

Cell and atoms, written as POSCAR:
```
LiSiTc
1.0
6.3275 0.0025 0.0000
5.1817 3.6315 0.0000
-5.7546 -1.8170 1.9028
Li Si Tc
1 1 1
direct
0.9952 0.9952 0.0000
0.3238 0.3238 0.0000
0.6810 0.6810 0.0000
```

Values from the calculation:
The density of states at the Fermi level is 2.14 states/eV per cell. The magnetic moment is 0.00 μB per atom. Its energy relative to the elements, uncorrected is 92 meV/atom.

(5)
A geometry-optimized Li2SiTc structure. Source: the Alexandria database, functional PBE-GGA.

Cell and atoms, written as POSCAR:
```
Li2SiTc
1.0
2.9108 0.0000 0.0000
0.0000 4.0179 0.0000
0.0000 0.0000 4.5575
Li Si Tc
2 1 1
direct
0.0000 0.0000 0.0000
0.5000 0.5000 0.0000
0.5000 0.0000 0.5000
0.0000 0.5000 0.5000
```

Values from the calculation:
The density of states at the Fermi level is 1.08 states/eV per cell. The magnetic moment is 0.00 μB per atom. Its energy relative to the elements, uncorrected is -182 meV/atom.

(6)
A geometry-optimized Li2SiTc structure. Source: the Alexandria database, functional PBE-GGA.

Cell and atoms, written as POSCAR:
```
Li2SiTc
1.0
-4.2999 -0.8027 -2.5580
2.6755 -3.8065 2.0074
-1.3242 0.2086 2.1604
Li Si Tc
2 1 1
direct
0.0000 0.0000 0.0000
0.5000 0.5000 0.0000
0.5000 0.0000 0.5000
0.0000 0.5000 0.5000
```

Values from the calculation:
The density of states at the Fermi level is 2.66 states/eV per cell. The magnetic moment is 0.00 μB per atom. Its energy relative to the elements, uncorrected is 15 meV/atom.

(7)
A geometry-optimized Li4SiTc structure. Source: the Alexandria database, functional PBE-GGA.

Cell and atoms, written as POSCAR:
```
Li4SiTc
1.0
0.0000 3.3277 3.3277
3.3277 0.0000 3.3277
3.3277 3.3277 0.0000
Li Si Tc
4 1 1
direct
0.3748 0.8757 0.3748
0.8757 0.3748 0.3748
0.3748 0.3748 0.8757
0.3748 0.3748 0.3748
0.7500 0.7500 0.7500
0.0000 0.0000 0.0000
```

Values from the calculation:
The density of states at the Fermi level is 3.56 states/eV per cell. The magnetic moment is 0.10 μB per atom. Its energy relative to the elements, uncorrected is 260 meV/atom.

(8)
A geometry-optimized Li2SiTc structure. Source: the Alexandria database, functional PBE-GGA.

Cell and atoms, written as POSCAR:
```
Li2SiTc
1.0
3.4124 0.0000 0.0000
0.0000 3.4124 0.0000
0.0000 0.0000 4.8076
Li Si Tc
2 1 1
direct
0.0000 0.0000 0.9975
0.0000 0.0000 0.5025
0.5000 0.5000 0.2500
0.5000 0.5000 0.7500
```

Values from the calculation:
The density of states at the Fermi level is 1.87 states/eV per cell. The magnetic moment is 0.00 μB per atom. Its energy relative to the elements, uncorrected is 224 meV/atom.

(9)
A geometry-optimized LiSiTc structure. Source: the Alexandria database, functional PBE-GGA.

Cell and atoms, written as POSCAR:
```
LiSiTc
1.0
3.9793 0.0000 0.0000
1.9897 3.4462 0.0000
1.9897 1.1487 3.2491
Li Si Tc
1 1 1
direct
0.5000 0.5000 0.5000
0.2500 0.2500 0.2500
0.0000 0.0000 0.0000
```

Values from the calculation:
The density of states at the Fermi level is 0.43 states/eV per cell. The magnetic moment is 0.00 μB per atom. Its energy relative to the elements, uncorrected is 3 meV/atom.

(10)
A geometry-optimized Li2Si2Tc structure. Source: the Alexandria database, functional PBE-GGA.

Cell and atoms, written as POSCAR:
```
Li2Si2Tc
1.0
-4.3425 4.6575 -0.6511
-2.9721 -3.4048 -4.5330
-1.9268 -1.4659 2.3644
Si Tc Li
4 2 4
direct
0.3593 0.8593 0.0000
0.8593 0.6407 0.0000
0.6407 0.1407 0.0000
0.1407 0.3593 0.0000
0.0000 0.0000 0.0000
0.5000 0.5000 0.0000
0.1643 0.6643 0.5000
0.6643 0.8357 0.5000
0.8357 0.3357 0.5000
0.3357 0.1643 0.5000
```

Values from the calculation:
The density of states at the Fermi level is 7.42 states/eV per cell. The magnetic moment is 0.00 μB per atom. Its energy relative to the elements, uncorrected is -30 meV/atom.

(11)
A geometry-optimized LiTiSiTc structure. Source: the Alexandria database, functional PBE-GGA.

Cell and atoms, written as POSCAR:
```
LiTiSiTc
1.0
4.2544 0.0000 0.0000
2.1272 3.6844 0.0000
2.1272 1.2281 3.4737
Si Li Tc Ti
1 1 1 1
direct
0.2500 0.2500 0.2500
0.5000 0.5000 0.5000
0.0000 0.0000 0.0000
0.7500 0.7500 0.7500
```

Values from the calculation:
The density of states at the Fermi level is 3.12 states/eV per cell. The magnetic moment is 0.00 μB per atom. Its energy relative to the elements, uncorrected is -360 meV/atom.

(12)
A geometry-optimized LiVSiTc structure. Source: the Alexandria database, functional PBE-GGA.

Cell and atoms, written as POSCAR:
```
LiVSiTc
1.0
4.1759 0.0000 0.0000
2.0880 3.6165 0.0000
2.0880 1.2055 3.4096
Si Li Tc V
1 1 1 1
direct
0.7500 0.7500 0.7500
0.5000 0.5000 0.5000
0.0000 0.0000 0.0000
0.2500 0.2500 0.2500
```

Values from the calculation:
The density of states at the Fermi level is 4.11 states/eV per cell. The magnetic moment is 0.00 μB per atom. Its energy relative to the elements, uncorrected is -305 meV/atom.

(13)
A geometry-optimized LiSiTcW structure. Source: the Alexandria database, functional PBE-GGA.

Cell and atoms, written as POSCAR:
```
LiSiTcW
1.0
4.2469 0.0000 0.0000
2.1235 3.6779 0.0000
2.1235 1.2260 3.4676
Si Tc W Li
1 1 1 1
direct
0.7500 0.7500 0.7500
0.0000 0.0000 0.0000
0.2500 0.2500 0.2500
0.5000 0.5000 0.5000
```

Values from the calculation:
The density of states at the Fermi level is 0.18 states/eV per cell. The magnetic moment is 0.00 μB per atom. Its energy relative to the elements, uncorrected is -218 meV/atom.

(14)
A geometry-optimized LiSi2Te structure. Source: the Alexandria database, functional PBE-GGA.

Cell and atoms, written as POSCAR:
```
LiSi2Te
1.0
-3.8506 -5.4187 7.4542
-4.7366 -7.1299 5.1464
-1.9871 -7.4823 6.3105
Li Si Te
1 2 1
direct
0.7500 0.7500 0.7500
0.0099 0.0099 0.0099
0.4901 0.4901 0.4901
0.2500 0.2500 0.2500
```

Values from the calculation:
The density of states at the Fermi level is 2.00 states/eV per cell. The magnetic moment is 0.00 μB per atom. Its energy relative to the elements, uncorrected is 489 meV/atom.